# NpVBr6, relaxed, DFT PBE
# Total moment in μB/atom: 0.75
# Calculated total energy in Ry per atom: -0.37379
# V in Å³ per cell: 557
# Density of states at the Fermi level in states/eV/f.u.: 10.3
data_NpVBr6
_cell_length_a 6.674
_cell_length_b 13.194
_cell_length_c 6.649
_cell_angle_alpha 90.00
_cell_angle_beta 108.11
_cell_angle_gamma 90.00
_space_group_name_H-M_alt 'C 1 2/m 1'
_space_group_IT_number 12
loop_
_space_group_symop_operation_xyz
'x,y,z'
'-x,-y,-z'
'-x,y,-z'
'x,-y,z'
'x+1/2,y+1/2,z'
'-x+1/2,-y+1/2,-z'
'-x+1/2,y+1/2,-z'
'x+1/2,-y+1/2,z'
loop_
_atom_site_label
_atom_site_type_symbol
_atom_site_fract_x
_atom_site_fract_y
_atom_site_fract_z
Np1 Np 0.000 0.000 0.000
V1 V 0.000 0.500 0.500
Br1 Br 0.229 0.358 0.731
Br2 Br 0.239 0.500 0.257